1.
Here is a relaxed structure of ScRuCl2 from Alexandria. Energies are from PBE-GGA.

Lattice parameters (Å, degrees): 3.041 3.041 10.492 90.00 90.00 90.00
Each line ends with the local moment (μB).
Positions (direct):
Cl: 0.000 0.000 0.602  0.00
Ru: 0.500 0.500 0.250  2.43
Cl: 0.000 0.000 0.898  0.00
Sc: 0.500 0.500 0.750  0.01

Properties
The calculation puts the theoretical density at 3.71 g/cm3. The value obtained for the energy relative to the lowest polymorph listed for this composition is 546 meV/atom. Its space-group type is P4/mmm. The total energy is -5.076 eV/atom. The raw formation energy comes out at -251 meV/atom. As for the spin magnetization: 2.70 μB per formula unit.

2.
Here is a relaxed structure of Sc5RuCl9 from Alexandria. Energies are from PBE-GGA.

Lattice parameters (Å, degrees): 11.775 11.775 22.586 105.11 105.11 90.00
Positions (direct):
Sc: 0.052 0.023 0.189
Ru: 0.271 0.441 0.301
Sc: 0.132 0.982 0.565
Sc: 0.355 0.509 0.422
Cl: 0.463 0.716 0.433
Cl: 0.472 0.444 0.056
Sc: 0.780 0.766 0.676
Cl: 0.019 0.051 0.936
Cl: 0.732 0.406 0.190
Cl: 0.163 0.922 0.812
Cl: 0.044 0.217 0.813
Sc: 0.518 0.067 0.935
Sc: 0.913 0.855 0.922
Cl: 0.336 0.175 0.941
Sc: 0.166 0.552 0.689
Sc: 0.933 0.587 0.578
Sc: 0.482 0.933 0.065
Ru: 0.029 0.360 0.301
Cl: 0.664 0.825 0.059
Cl: 0.351 0.611 0.188
Cl: 0.520 0.995 0.179
Sc: 0.067 0.413 0.422
Cl: 0.551 0.417 0.436
Sc: 0.087 0.145 0.078
Sc: 0.220 0.234 0.324
Cl: 0.675 0.104 0.441
Ru: 0.059 0.471 0.199
Sc: 0.393 0.633 0.310
Cl: 0.403 0.456 0.687
Sc: 0.104 0.590 0.324
Sc: 0.607 0.367 0.690
Sc: 0.477 0.363 0.311
Cl: 0.604 0.265 0.941
Sc: 0.417 0.368 0.935
Cl: 0.784 0.232 0.690
Ru: 0.860 0.771 0.801
Cl: 0.885 0.519 0.436
Cl: 0.889 0.663 0.312
Cl: 0.325 0.896 0.559
Cl: 0.837 0.078 0.188
Cl: 0.388 0.028 0.444
Cl: 0.115 0.481 0.564
Cl: 0.056 0.916 0.444
Cl: 0.270 0.328 0.448
Cl: 0.730 0.672 0.552
Sc: 0.133 0.416 0.810
Cl: 0.612 0.972 0.556
Cl: 0.815 0.980 0.321
Cl: 0.216 0.768 0.310
Cl: 0.495 0.159 0.679
Cl: 0.917 0.385 0.936
Cl: 0.717 0.270 0.313
Cl: 0.185 0.020 0.679
Cl: 0.906 0.957 0.690
Sc: 0.567 0.917 0.435
Sc: 0.266 0.396 0.176
Cl: 0.030 0.783 0.567
Sc: 0.583 0.632 0.065
Ru: 0.729 0.559 0.699
Cl: 0.970 0.217 0.433
Cl: 0.268 0.594 0.810
Cl: 0.480 0.005 0.821
Sc: 0.323 0.107 0.190
Cl: 0.981 0.949 0.064
Sc: 0.137 0.666 0.189
Cl: 0.449 0.583 0.564
Cl: 0.083 0.615 0.064
Ru: 0.140 0.229 0.199
Ru: 0.971 0.640 0.699
Cl: 0.784 0.530 0.067
Cl: 0.543 0.716 0.810
Cl: 0.659 0.685 0.179
Cl: 0.172 0.322 0.052
Cl: 0.597 0.544 0.313
Sc: 0.948 0.977 0.811
Cl: 0.283 0.037 0.067
Cl: 0.765 0.836 0.441
Cl: 0.880 0.230 0.052
Cl: 0.094 0.043 0.310
Cl: 0.770 0.097 0.813
Cl: 0.416 0.888 0.944
Cl: 0.828 0.678 0.948
Cl: 0.649 0.389 0.812
Sc: 0.090 0.720 0.824
Cl: 0.956 0.783 0.187
Cl: 0.578 0.851 0.688
Cl: 0.422 0.149 0.312
Cl: 0.283 0.730 0.687
Cl: 0.537 0.284 0.567
Cl: 0.230 0.903 0.187
Ru: 0.941 0.529 0.801
Sc: 0.896 0.410 0.676
Sc: 0.433 0.083 0.565
Cl: 0.396 0.735 0.059
Sc: 0.863 0.334 0.811
Cl: 0.111 0.337 0.688
Sc: 0.867 0.584 0.190
Sc: 0.645 0.491 0.578
Cl: 0.717 0.963 0.933
Cl: 0.528 0.556 0.944
Sc: 0.916 0.177 0.310
Cl: 0.944 0.084 0.556
Sc: 0.868 0.018 0.435
Sc: 0.910 0.280 0.176
Sc: 0.523 0.637 0.689
Cl: 0.235 0.164 0.559
Cl: 0.584 0.112 0.056
Cl: 0.505 0.841 0.321
Cl: 0.341 0.315 0.821
Sc: 0.009 0.567 0.922
Sc: 0.734 0.604 0.824
Cl: 0.178 0.620 0.448
Cl: 0.457 0.284 0.190
Sc: 0.677 0.893 0.810
Sc: 0.084 0.823 0.690
Cl: 0.822 0.380 0.552
Cl: 0.216 0.470 0.933
Sc: 0.991 0.433 0.078
Cl: 0.120 0.770 0.948
Sc: 0.834 0.448 0.311

Properties
The calculation puts the theoretical density at 2.94 g/cm3. Its space-group type is I4_1/a. The total energy is -5.644 eV/atom. The raw formation energy comes out at -1807 meV/atom. As for the spin magnetization: 0.00 μB per formula unit.

3.
Here is a relaxed structure of ScRu2Cl from Alexandria. Energies are from PBE-GGA.

Lattice parameters (Å, degrees): 5.958 5.958 5.958 145.30 145.30 49.89
Positions (direct):
Cl: 0.750 0.250 0.500
Sc: 0.250 0.750 0.500
Ru: 0.000 0.000 0.000
Ru: 0.500 0.500 0.000

Properties
The calculation puts the theoretical density at 6.88 g/cm3. The value obtained for the energy relative to the lowest polymorph listed for this composition is 278 meV/atom. Its space-group type is I4/mmm. The total energy is -6.633 eV/atom. The raw formation energy comes out at 50 meV/atom. As for the spin magnetization: 0.00 μB per formula unit.

4.
Here is a relaxed structure of ScRuCl4 from Alexandria. Energies are from PBE-GGA.

Lattice parameters (Å, degrees): 5.705 5.705 5.705 60.00 60.00 60.00
Each line ends with the local moment (μB).
Positions (direct):
Cl: 0.375 0.375 0.874  0.27
Cl: 0.375 0.375 0.375  0.27
Ru: 0.750 0.750 0.750  2.33
Cl: 0.375 0.874 0.375  0.27
Sc: 0.000 0.000 0.000  -0.46
Cl: 0.874 0.375 0.375  0.27

Properties
The calculation puts the theoretical density at 3.64 g/cm3. Its space-group type is F-43m. The total energy is -3.196 eV/atom. The raw formation energy comes out at 636 meV/atom. As for the spin magnetization: 3.15 μB per formula unit.

5.
Here is a relaxed structure of ScRu2Cl from Alexandria. Energies are from PBE-GGA.

Lattice parameters (Å, degrees): 5.485 3.539 3.539 90.00 90.00 90.00
Positions (direct):
Cl: 0.500 0.000 0.500
Sc: 0.500 0.500 0.000
Ru: 0.000 0.500 0.500
Ru: 0.000 0.000 0.000

Properties
The calculation puts the theoretical density at 6.83 g/cm3. The value obtained for the energy relative to the lowest polymorph listed for this composition is 287 meV/atom. Its space-group type is P4/mmm. The total energy is -6.624 eV/atom. The raw formation energy comes out at 58 meV/atom. As for the spin magnetization: 0.00 μB per formula unit.

6.
Here is a relaxed structure of ScRu2Cl from Alexandria. Energies are from PBE-GGA.

Lattice parameters (Å, degrees): 9.160 9.160 9.160 18.89 18.89 18.89
Positions (direct):
Ru: 0.986 0.986 0.986
Cl: 0.765 0.765 0.765
Sc: 0.500 0.500 0.500
Ru: 0.249 0.249 0.249

Properties
The calculation puts the theoretical density at 6.66 g/cm3. The value obtained for the energy relative to the lowest polymorph listed for this composition is 151 meV/atom. Its space-group type is R3m. The total energy is -6.760 eV/atom. The raw formation energy comes out at -77 meV/atom. As for the spin magnetization: 0.00 μB per formula unit.

7.
Here is a relaxed structure of ScRuCl2 from Alexandria. Energies are from PBE-GGA.

Lattice parameters (Å, degrees): 5.266 5.266 5.266 145.29 116.78 74.18
Each line ends with the local moment (μB).
Positions (direct):
Ru: 0.750 0.250 0.500  1.36
Cl: 0.998 0.998 0.000  0.04
Cl: 0.502 0.502 0.000  0.04
Sc: 0.250 0.750 0.500  0.09

Properties
The calculation puts the theoretical density at 4.94 g/cm3. The value obtained for the energy relative to the lowest polymorph listed for this composition is 520 meV/atom. Its space-group type is Immm. The total energy is -5.102 eV/atom. The raw formation energy comes out at -277 meV/atom. As for the spin magnetization: 1.62 μB per formula unit.

8.
Here is a relaxed structure of ScRuCl3 from Alexandria. Energies are from PBE-GGA.

Lattice parameters (Å, degrees): 4.991 4.991 4.991 90.00 90.00 90.00
Each line ends with the local moment (μB).
Positions (direct):
Cl: 0.500 0.000 0.000  0.03
Cl: 0.000 0.500 0.000  0.03
Cl: 0.000 0.000 0.500  0.02
Ru: 0.500 0.500 0.500  2.53
Sc: 0.000 0.000 0.000  -0.37

Properties
The calculation puts the theoretical density at 3.37 g/cm3. The value obtained for the energy relative to the lowest polymorph listed for this composition is 0 meV/atom. Its space-group type is Pm-3m. The total energy is -4.587 eV/atom. The raw formation energy comes out at -357 meV/atom. As for the spin magnetization: 2.54 μB per formula unit.

9.
Here is a relaxed structure of ScRuCl2 from Alexandria. Energies are from PBE-GGA.

Lattice parameters (Å, degrees): 4.289 4.990 4.281 65.86 87.34 114.19
Positions (direct):
Cl: 0.500 0.000 0.500
Sc: 0.500 0.500 0.000
Cl: 0.000 0.000 0.000
Ru: 0.000 0.500 0.500

Properties
The calculation puts the theoretical density at 4.89 g/cm3. The value obtained for the energy relative to the lowest polymorph listed for this composition is 376 meV/atom. Its space-group type is Fmmm. The total energy is -5.246 eV/atom. The raw formation energy comes out at -421 meV/atom. As for the spin magnetization: 0.00 μB per formula unit.

10.
Here is a relaxed structure of ScRu2Cl from Alexandria. Energies are from PBE-GGA.

Lattice parameters (Å, degrees): 4.198 4.198 6.964 88.22 88.22 43.23
Positions (direct):
Ru: 0.078 0.078 0.906
Ru: 0.807 0.807 0.778
Sc: 0.518 0.518 0.547
Cl: 0.097 0.097 0.269

Properties
The calculation puts the theoretical density at 5.58 g/cm3. The value obtained for the energy relative to the lowest polymorph listed for this composition is 20 meV/atom. Its space-group type is Cm. The total energy is -6.891 eV/atom. The raw formation energy comes out at -209 meV/atom. As for the spin magnetization: 0.00 μB per formula unit.

11.
Here is a relaxed structure of ZrScRu2Cl from Alexandria. Energies are from PBE-GGA.

Lattice parameters (Å, degrees): 4.802 4.899 4.802 90.00 90.00 90.00
Positions (direct):
Zr: 0.000 0.000 0.000
Ru: 0.000 0.000 0.500
Ru: 0.500 0.000 0.000
Cl: 0.000 0.500 0.000
Sc: 0.500 0.500 0.500

Properties
The calculation puts the theoretical density at 5.49 g/cm3. Its space-group type is P4/mmm. The total energy is -6.483 eV/atom. The raw formation energy comes out at 573 meV/atom. As for the spin magnetization: 0.00 μB per formula unit.

12.
Here is a relaxed structure of RuSeCl2 from Alexandria. Energies are from PBE-GGA.

Lattice parameters (Å, degrees): 3.021 5.655 4.351 90.00 90.00 90.00
Each line ends with the local moment (μB).
Positions (direct):
Se: 0.000 0.500 0.500  0.03
Cl: 0.000 0.000 0.000  0.05
Cl: 0.500 0.500 0.000  0.02
Ru: 0.500 0.000 0.500  1.54

Properties
The calculation puts the theoretical density at 5.61 g/cm3. The value obtained for the energy relative to the lowest polymorph listed for this composition is 1013 meV/atom. Its space-group type is Pmmm. The total energy is -3.435 eV/atom. The raw formation energy comes out at 678 meV/atom. As for the spin magnetization: 1.80 μB per formula unit.